Below is a relaxed structure of AcThAu4, with properties calculated at the PBE level.

Cell: 3.6558 4.8153 8.3997 Å, 90.00 90.00 90.00°
Space group Pmmm (No. 47)
Inequivalent atoms, fractional coordinates:
Ac (0.0000, 0.0000, 0.0000) (multiplicity 1)
Th (0.0000, 0.5000, 0.5000) (multiplicity 1)
Au (0.5000, 0.0000, 0.3374) (multiplicity 2)
Au (0.5000, 0.5000, 0.1707) (multiplicity 2)

Results
ΔE_f, eV/atom: -0.74
E, eV/cell: -29.1
ΔE to the lowest computed polymorph, eV per formula unit: 0.000

=====

Below is a relaxed structure of LiDy2Pd6, with properties calculated at the PBE level.

Cell: 13.7702 7.6917 3.2985 Å, 90.00 103.71 90.00°
Space group C2/m (No. 12)
Inequivalent atoms, fractional coordinates:
Li (0.0000, 0.0000, 0.0000) (multiplicity 2)
Dy (0.1496, 0.5000, 0.6493) (multiplicity 4)
Pd (0.0000, 0.2451, 0.5000) (multiplicity 4)
Pd (0.1671, 0.1993, 0.1666) (multiplicity 8)

Results
ΔE_f, eV/atom: -0.47
E, eV/cell: -93.0

=====

Below is a relaxed structure of Ba2CaCd, with properties calculated at the PBE level.

Cell: 4.2441 4.2441 36.6193 Å, 90.00 90.00 120.00°
Space group R-3m (No. 166, hexagonal axes)
Inequivalent atoms, fractional coordinates:
Ba (0.0000, 0.0000, 0.2386) (multiplicity 6)
Ca (0.0000, 0.0000, 0.0000) (multiplicity 3)
Cd (0.0000, 0.0000, 0.5000) (multiplicity 3)

Results
ΔE_f, eV/atom: -0.02
E, eV/cell: -20.6

=====

- Among the records above, which one has the highest E?
  Ba2CaCd

=====

- E of number 1 (AcThAu4)?
  -29.1 eV/cell

=====

Copy entry 1 word for word.
Below is a relaxed structure of AcThAu4, with properties calculated at the PBE level.

Cell: 3.6558 4.8153 8.3997 Å, 90.00 90.00 90.00°
Space group Pmmm (No. 47)
Inequivalent atoms, fractional coordinates:
Ac (0.0000, 0.0000, 0.0000) (multiplicity 1)
Th (0.0000, 0.5000, 0.5000) (multiplicity 1)
Au (0.5000, 0.0000, 0.3374) (multiplicity 2)
Au (0.5000, 0.5000, 0.1707) (multiplicity 2)

Results
ΔE_f, eV/atom: -0.74
E, eV/cell: -29.1
ΔE to the lowest computed polymorph, eV per formula unit: 0.000